The following is a PBE-GGA calculation of an optimized crystal structure of PmPaPb2, from Alexandria.

a = 5.4777 Å, b = 5.4777 Å, c = 5.4777 Å
α = 60.00°, β = 60.00°, γ = 60.00°
Atoms (fractional coordinates):
Pm (0.0000, 0.0000, 0.0000)
Pa (0.5000, 0.5000, 0.5000)
Pb (0.2500, 0.2500, 0.2500)
Pb (0.7500, 0.7500, 0.7500)

Properties
Space group: Fm-3m, No. 225
D(E_F): 1.6473 states/eV/atom
ΔE to the lowest computed polymorph: 101 meV/atom
E_form: -0.07 eV/atom
Theoretical density: 11.294 g/cm3


The following is a PBE-GGA calculation of an optimized crystal structure of Si2TcOs, from Alexandria.

a = 2.7618 Å, b = 2.7618 Å, c = 7.6059 Å
α = 90.00°, β = 90.00°, γ = 90.00°
Atoms (fractional coordinates):
Si (0.0000, 0.0000, 0.0000)
Si (0.5000, 0.5000, 0.2991)
Tc (0.0000, 0.0000, 0.5368)
Os (0.5000, 0.5000, 0.7706)

Properties
Space group: P4mm, No. 99
D(E_F): 0.4032 states/eV/atom
ΔE to the lowest computed polymorph: 459 meV/atom
Formation energy without anion corrections: 0.04 eV per atom
Theoretical density: 9.858 g/cm3


The following is a PBE-GGA calculation of an optimized crystal structure of CeGa2CuNi4, from Alexandria.

a = 8.5283 Å, b = 8.5283 Å, c = 8.5283 Å
α = 27.36°, β = 27.36°, γ = 27.36°
Atoms (fractional coordinates):
Ce (0.0000, 0.0000, 0.0000)
Ga (0.2349, 0.2349, 0.2349)
Ga (0.7651, 0.7651, 0.7651)
Cu (0.5000, 0.5000, 0.5000)
Ni (0.1304, 0.1304, 0.1304)
Ni (0.4024, 0.4024, 0.4024)
Ni (0.5976, 0.5976, 0.5976)
Ni (0.8696, 0.8696, 0.8696)

Properties
Space group: R-3m, No. 166
D(E_F): 0.5651 states/eV/atom
E_form: -0.35 eV/atom
Theoretical density: 8.303 g/cm3


The following is a PBE-GGA calculation of an optimized crystal structure of MgZnBr, from Alexandria.

a = 4.9023 Å, b = 4.9023 Å, c = 4.9023 Å
α = 60.00°, β = 60.00°, γ = 60.00°
Atoms (fractional coordinates):
Mg (0.0000, 0.0000, 0.0000)
Zn (0.7500, 0.7500, 0.7500)
Br (0.2500, 0.2500, 0.2500)

Properties
Space group: F-43m, No. 216
D(E_F): 0.3389 states/eV/atom
ΔE to the lowest computed polymorph: 283 meV/atom
Formation energy without anion corrections: -0.11 eV per atom
Theoretical density: 3.381 g/cm3


The following is a PBE-GGA calculation of an optimized crystal structure of MgIn2TeO6, from Alexandria.

a = 5.3021 Å, b = 5.3021 Å, c = 4.9750 Å
α = 90.00°, β = 90.00°, γ = 90.00°
Atoms (fractional coordinates):
Mg (0.0000, 0.0000, 0.0000)
In (0.0000, 0.5000, 0.4626)
In (0.5000, 0.0000, 0.4626)
Te (0.5000, 0.5000, 0.0288)
O (0.0000, 0.0000, 0.6010)
O (0.2581, 0.2581, 0.1580)
O (0.2581, 0.7419, 0.1580)
O (0.5000, 0.5000, 0.6504)
O (0.7419, 0.2581, 0.1580)
O (0.7419, 0.7419, 0.1580)

Properties
Space group: P4mm, No. 99
D(E_F): 0.1995 states/eV/atom
Formation energy without anion corrections: -1.19 eV per atom
Theoretical density: 5.670 g/cm3


The following is a PBE-GGA calculation of an optimized crystal structure of PmSm8Sn6, from Alexandria.

a = 8.4676 Å, b = 8.4676 Å, c = 8.4676 Å
α = 66.25°, β = 66.25°, γ = 66.25°
Atoms (fractional coordinates):
Pm (0.0000, 0.0000, 0.0000)
Sm (0.1049, 0.4376, 0.7720)
Sm (0.2280, 0.8951, 0.5624)
Sm (0.3333, 0.3333, 0.3333)
Sm (0.4376, 0.7720, 0.1049)
Sm (0.5624, 0.2280, 0.8951)
Sm (0.6667, 0.6667, 0.6667)
Sm (0.7720, 0.1049, 0.4376)
Sm (0.8951, 0.5624, 0.2280)
Sn (0.0674, 0.7333, 0.4017)
Sn (0.2667, 0.5983, 0.9326)
Sn (0.4017, 0.0674, 0.7333)
Sn (0.5983, 0.9326, 0.2667)
Sn (0.7333, 0.4017, 0.0674)
Sn (0.9326, 0.2667, 0.5983)

Properties
Space group: R-3, No. 148
D(E_F): 0.6309 states/eV/atom
E_form: -0.57 eV/atom
Theoretical density: 7.021 g/cm3


The following is a PBE-GGA calculation of an optimized crystal structure of Cs2HoPdBr6, from Alexandria.

a = 13.8576 Å, b = 13.8576 Å, c = 13.8576 Å
α = 33.31°, β = 33.31°, γ = 33.31°
Atoms (fractional coordinates):
Cs (0.1236, 0.1236, 0.1236)
Cs (0.2943, 0.2943, 0.2943)
Cs (0.7057, 0.7057, 0.7057)
Cs (0.8764, 0.8764, 0.8764)
Ho (0.4163, 0.4163, 0.4163)
Ho (0.5837, 0.5837, 0.5837)
Pd (0.0000, 0.0000, 0.0000)
Pd (0.5000, 0.5000, 0.5000)
Br (0.1282, 0.6230, 0.6230)
Br (0.2091, 0.2091, 0.7080)
Br (0.2091, 0.7080, 0.2091)
Br (0.2920, 0.7909, 0.7909)
Br (0.3770, 0.3770, 0.8718)
Br (0.3770, 0.8718, 0.3770)
Br (0.6230, 0.1282, 0.6230)
Br (0.6230, 0.6230, 0.1282)
Br (0.7080, 0.2091, 0.2091)
Br (0.7909, 0.2920, 0.7909)
Br (0.7909, 0.7909, 0.2920)
Br (0.8718, 0.3770, 0.3770)

Properties
Space group: R-3m, No. 166
D(E_F): 0.5928 states/eV/atom
Formation energy without anion corrections: -1.46 eV per atom
Theoretical density: 4.725 g/cm3


The following is a PBE-GGA calculation of an optimized crystal structure of Tl2CoW, from Alexandria.

a = 5.2905 Å, b = 5.2905 Å, c = 5.2905 Å
α = 134.23°, β = 134.23°, γ = 66.73°
Atoms (fractional coordinates):
Tl (0.2500, 0.7500, 0.5000)
Tl (0.7500, 0.2500, 0.5000)
Co (0.0000, 0.0000, 0.0000)
W (0.5000, 0.5000, 0.0000)

Properties
Space group: I4/mmm, No. 139
D(E_F): 1.2356 states/eV/atom
ΔE to the lowest computed polymorph: 602 meV/atom
E_form: 1.12 eV/atom
Theoretical density: 14.463 g/cm3